(1)
This record from Alexandria describes a geometry-optimized Y2Fe3Ge5 structure. The functional is GGA-PBE.

Geometry as POSCAR:
```
Y2Fe3Ge5
1.0
-4.791 6.047 2.811
4.791 -6.047 2.811
4.791 6.047 -2.811
Y Fe Ge
4 6 10
Direct
0.142 0.231 0.373 Y
0.358 0.731 0.088 Y
0.642 0.269 0.912 Y
0.858 0.769 0.627 Y
0.146 0.910 0.056 Fe
0.250 0.750 0.500 Fe
0.354 0.410 0.764 Fe
0.646 0.590 0.236 Fe
0.750 0.250 0.500 Fe
0.854 0.090 0.944 Fe
0.039 0.750 0.289 Ge
0.086 0.677 0.763 Ge
0.250 0.250 0.000 Ge
0.414 0.177 0.591 Ge
0.461 0.750 0.711 Ge
0.539 0.250 0.289 Ge
0.586 0.823 0.409 Ge
0.750 0.750 0.000 Ge
0.914 0.323 0.237 Ge
0.961 0.250 0.711 Ge
```

Output
Formation enthalpy at 0 K: -477 meV/atom
SG: Ibam


(2)
This record from Alexandria describes a geometry-optimized SrAlZnI2 structure. The functional is GGA-PBE.

Geometry as POSCAR:
```
SrAlZnI2
1.0
5.709 0.000 0.000
0.000 5.709 0.000
0.000 0.000 6.002
Sr Al Zn I
1 1 1 2
Direct
0.000 0.000 0.000 Sr
0.500 0.500 0.000 Al
0.000 0.000 0.500 Zn
0.000 0.500 0.500 I
0.500 0.000 0.500 I
```

Output
E_form (uncorrected): 0.122 eV/atom
SG: P4/mmm


Computed values of final energy (unit: eV/atom) for the preceding records, in sequence: -6.618 -1.838.
Computed values of magnetic moment (unit: Bohr magnetons per cell) for the preceding records, in sequence: 0.000 0.000.